Entry 1:
Below is an optimized crystal structure of Na3Ac2TbS6, with properties calculated at the PBE-GGA level.

For the formation energy without anion corrections, the calculation gives -1.809 eV per atom. The value obtained for the magnetic moment is 0.0 μB per formula unit. Its volume is 26.338 A^3/atom.

The structure belongs to space group C2/m (No. 12); the cell edges are 18.292, 4.240 and 8.308 Å and the angles 90.00°, 101.20° and 90.00°. The inequivalent atoms are Na at (0.000, 0.000, 0.000), Na at (0.159, 0.500, 0.328), Ac at (0.165, 0.500, 0.824), Tb at (0.000, 0.000, 0.500), S at (0.001, 0.500, 0.726), S at (0.155, 0.000, 0.572) and S at (0.168, 0.000, 0.077).

=====

Entry 2:
Below is an optimized crystal structure of Sr2CdSb3Rh4, with properties calculated at the PBE-GGA level.

For the formation energy without anion corrections, the calculation gives -0.643 eV per atom. The value obtained for the magnetic moment is 0.0 μB per formula unit. Its volume is 22.320 A^3/atom.

The structure belongs to space group P-4m2 (No. 115); the cell edges are 4.500, 4.500 and 11.020 Å and the angles 90.00°, 90.00° and 90.00°. The inequivalent atoms are Sr at (0.000, 0.500, 0.249), Cd at (0.500, 0.500, 0.000), Sb at (0.000, 0.000, 0.000), Sb at (0.000, 0.500, 0.629), Rh at (0.000, 0.000, 0.500), Rh at (0.000, 0.500, 0.864) and Rh at (0.500, 0.500, 0.500).

=====

Entry 3:
Below is an optimized crystal structure of Sr8Pd2Cl, with properties calculated at the PBE-GGA level.

For the formation energy without anion corrections, the calculation gives -0.374 eV per atom. The value obtained for the magnetic moment is 0.5 μB per formula unit. Its volume is 46.671 A^3/atom.

The structure belongs to space group P-3 (No. 147); the cell edges are 9.5764, 9.5764 and 6.4630 Å and the angles 90.00°, 90.00° and 120.00°. The inequivalent atoms are Sr at (0.1593, 0.3205, 0.2551), Sr at (0.3333, 0.6667, 0.7515), Pd at (0.3333, 0.6667, 0.2511) and Cl at (0.0000, 0.0000, 0.0000).

=====

Entry 4:
Below is an optimized crystal structure of Al5Hg, with properties calculated at the PBE-GGA level.

The relative energy among the computed polymorphs comes out at 124.0 meV/atom. The value obtained for the magnetic moment is 0.0 μB per formula unit. Its volume is 19.004 A^3/atom. The formation energy is 0.21 eV per atom.

The structure belongs to space group F-43m (No. 216); the cell edges are 7.697, 7.697 and 7.697 Å and the angles 90.00°, 90.00° and 90.00°. The inequivalent atoms are Al at (0.000, 0.000, 0.000), Al at (0.125, 0.125, 0.625) and Hg at (0.250, 0.250, 0.250).

=====

Entry 5:
Below is an optimized crystal structure of Nd8Co2Bi, with properties calculated at the PBE-GGA level.

The value obtained for the magnetic moment is 0.0 μB per formula unit. Its volume is 29.770 A^3/atom. The formation energy is -0.12 eV per atom.

The structure belongs to space group C2/m (No. 12); the cell edges are 8.698, 13.821 and 5.597 Å and the angles 90.00°, 103.26° and 90.00°. The inequivalent atoms are Nd at (0.000, 0.249, 0.000), Nd at (0.099, 0.000, 0.799), Nd at (0.205, 0.371, 0.562), Co at (0.000, 0.207, 0.500) and Bi at (0.000, 0.500, 0.000).

=====

Entry 6:
Below is an optimized crystal structure of HoLu2Ge, with properties calculated at the PBE-GGA level.

The value obtained for the magnetic moment is 0.4 μB per formula unit. Its volume is 28.275 A^3/atom. The formation energy is -0.02 eV per atom.

The structure belongs to space group R-3m (No. 166, hexagonal axes); the cell edges are 3.4756, 3.4756 and 32.4331 Å and the angles 90.00°, 90.00° and 120.00°. The inequivalent atoms are Ho at (0.0000, 0.0000, 0.0000), Lu at (0.0000, 0.0000, 0.1039) and Ge at (0.0000, 0.0000, 0.5000).

=====

Entry 7:
Below is an optimized crystal structure of NiPb, with properties calculated at the PBE-GGA level.

The value obtained for the magnetic moment is 0.0 μB per formula unit. Its volume is 31.979 A^3/atom. The formation energy is 0.68 eV per atom.

The structure belongs to space group Pm-3n (No. 223); the cell edges are 7.267, 7.267 and 7.267 Å and the angles 90.00°, 90.00° and 90.00°. The inequivalent atoms are Ni at (0.000, 0.250, 0.500) and Pb at (0.000, 0.500, 0.250).

=====

Entry 8:
Below is an optimized crystal structure of K2LiPrF6, with properties calculated at the PBE-GGA level.

For the formation energy without anion corrections, the calculation gives -3.268 eV per atom. The value obtained for the magnetic moment is 0.1 μB per formula unit. Its volume is 16.593 A^3/atom.

The structure belongs to space group P2_1/c (No. 14); the cell edges are 6.145, 6.202 and 10.609 Å and the angles 90.00°, 124.84° and 90.00°. The inequivalent atoms are K at (0.240, 0.035, 0.248), Li at (0.000, 0.000, 0.500), Pr at (0.500, 0.000, 0.000), F at (0.165, 0.220, 0.962), F at (0.242, 0.704, 0.962) and F at (0.312, 0.020, 0.740).

=====

Entry 9:
Below is an optimized crystal structure of Ta2VAu, with properties calculated at the PBE-GGA level.

The relative energy among the computed polymorphs comes out at 0.0 meV/atom. The value obtained for the magnetic moment is 0.0 μB per formula unit. Its volume is 16.960 A^3/atom. The formation energy is -0.02 eV per atom.

The structure belongs to space group P4/mmm (No. 123); the cell edges are 3.249, 3.249 and 6.428 Å and the angles 90.00°, 90.00° and 90.00°. The inequivalent atoms are Ta at (0.000, 0.000, 0.225), V at (0.500, 0.500, 0.000) and Au at (0.500, 0.500, 0.500).

=====

Entry 10:
Below is an optimized crystal structure of Ba3Ga3Ag8, with properties calculated at the PBE-GGA level.

The value obtained for the magnetic moment is 0.0 μB per formula unit. Its volume is 24.419 A^3/atom. The formation energy is -0.21 eV per atom.

The structure belongs to space group C2/m (No. 12); the cell edges are 17.346, 4.847 and 9.873 Å and the angles 90.00°, 124.55° and 90.00°. The inequivalent atoms are Ba at (0.000, 0.000, 0.000), Ba at (0.205, 0.500, 0.695), Ga at (0.000, 0.000, 0.500), Ga at (0.168, 0.500, 0.010), Ag at (0.007, 0.500, 0.698), Ag at (0.118, 0.000, 0.406), Ag at (0.131, 0.000, 0.845) and Ag at (0.155, 0.500, 0.287).

=====

What is the formula in the third record?
Sr8Pd2Cl

=====

Copy entry 10 word for word.
Below is an optimized crystal structure of Ba3Ga3Ag8, with properties calculated at the PBE-GGA level.

The value obtained for the magnetic moment is 0.0 μB per formula unit. Its volume is 24.419 A^3/atom. The formation energy is -0.21 eV per atom.

The structure belongs to space group C2/m (No. 12); the cell edges are 17.346, 4.847 and 9.873 Å and the angles 90.00°, 124.55° and 90.00°. The inequivalent atoms are Ba at (0.000, 0.000, 0.000), Ba at (0.205, 0.500, 0.695), Ga at (0.000, 0.000, 0.500), Ga at (0.168, 0.500, 0.010), Ag at (0.007, 0.500, 0.698), Ag at (0.118, 0.000, 0.406), Ag at (0.131, 0.000, 0.845) and Ag at (0.155, 0.500, 0.287).